Density functional theory data (PBE with a Hubbard U) for a relaxed LiCoF3 crystal.

```
data_LiCoF3
_chemical_formula_sum 'Li2 Co2 F6'
_space_group_name_H-M_alt 'P 1'
_space_group_IT_number 1
_space_group_name_Hall 'P 1'
_cell_length_a 2.844
_cell_length_b 4.992
_cell_length_c 7.497
_cell_angle_alpha 90.00
_cell_angle_beta 90.00
_cell_angle_gamma 106.55
loop_
_atom_site_label
_atom_site_type_symbol
_atom_site_fract_x
_atom_site_fract_y
_atom_site_fract_z
Li1 Li 0.000 0.000 0.500
Li2 Li 0.000 0.000 0.000
Co1 Co 0.236 0.473 0.250
Co2 Co 0.764 0.527 0.750
F1 F 0.110 0.219 0.750
F2 F 0.890 0.781 0.250
F3 F 0.364 0.728 0.582
F4 F 0.636 0.272 0.418
F5 F 0.636 0.272 0.082
F6 F 0.364 0.728 0.918
```

space group = Cmcm
total magnetic moment = 6.0 μB per cell
crystal system = orthorhombic
total energy = -4.9005 eV/atom
N(E_F) = 0.000 states/eV per cell